# 1
The following is a DFT calculation (PBE) of crystalline BaNaMoN3 at its relaxed geometry.

The formation energy without anion corrections is -0.5589 eV per atom. The value obtained for the size of the total moment is 0.0 Bohr magnetons per cell. The volume is 95 Å³/f.u.

The space group is C2/c (No. 15) and the conventional cell measures 6.023, 11.322 and 5.650 Å, with angles of 90.00, 100.05 and 90.00 degrees. The distinct sites, in fractional coordinates, are Ba at (0.000, 0.238, 0.250), Na at (0.000, 0.070, 0.750), Mo at (0.000, 0.451, 0.750), N at (0.000, 0.288, 0.750) and N at (0.211, 0.462, 0.485).

# 2
The following is a DFT calculation (PBE) of crystalline Rb2YBSe at its relaxed geometry.

The formation energy without anion corrections is 0.5691 eV per atom. The value obtained for the size of the total moment is 2.0 Bohr magnetons per cell. The volume is 232 Å³/f.u.

The space group is P4/mmm (No. 123) and the conventional cell measures 6.547, 6.547 and 5.423 Å, with angles of 90.00, 90.00 and 90.00 degrees. The distinct sites, in fractional coordinates, are Rb at (0.000, 0.500, 0.000), Y at (0.000, 0.000, 0.500), B at (0.500, 0.500, 0.500) and Se at (0.000, 0.000, 0.000).

# 3
The following is a DFT calculation (PBE) of crystalline Al2RhBr at its relaxed geometry.

As for the energy above the most stable polymorph in this dataset: 0.414 eV per atom. The formation energy without anion corrections is -0.1003 eV per atom. The value obtained for the size of the total moment is 0.0 Bohr magnetons per cell. The volume is 98 Å³/f.u.

The space group is I-42d (No. 122) and the conventional cell measures 6.343, 6.343 and 9.734 Å, with angles of 90.00, 90.00 and 90.00 degrees. The distinct sites, in fractional coordinates, are Al at (0.194, 0.250, 0.125), Rh at (0.000, 0.000, 0.000) and Br at (0.000, 0.000, 0.500).

# 4
The following is a DFT calculation (PBE) of crystalline CsBe3Re at its relaxed geometry.

As for the energy above the most stable polymorph in this dataset: 0.000 eV per atom. The value obtained for the size of the total moment is 0.0 Bohr magnetons per cell. The calculation puts the formation energy at 5.87 eV per formula unit. The volume is 102 Å³/f.u.

The space group is Pm-3m (No. 221) and the conventional cell measures 4.678, 4.678 and 4.678 Å, with angles of 90.00, 90.00 and 90.00 degrees. The distinct sites, in fractional coordinates, are Cs at (0.000, 0.000, 0.000), Be at (0.000, 0.500, 0.500) and Re at (0.500, 0.500, 0.500).

# 5
The following is a DFT calculation (PBE) of crystalline CoSn4Hg2 at its relaxed geometry.

The value obtained for the size of the total moment is 0.0 Bohr magnetons per cell. The calculation puts the formation energy at 0.81 eV per formula unit. The volume is 195 Å³/f.u.

The space group is I4/mmm (No. 139) and the conventional cell measures 4.723, 4.723 and 17.461 Å, with angles of 90.00, 90.00 and 90.00 degrees. The distinct sites, in fractional coordinates, are Co at (0.000, 0.000, 0.000), Sn at (0.000, 0.000, 0.151), Sn at (0.000, 0.500, 0.000) and Hg at (0.000, 0.000, 0.334).

# 6
The following is a DFT calculation (PBE) of crystalline YHo2Sc6 at its relaxed geometry.

As for the energy above the most stable polymorph in this dataset: 0.012 eV per atom. The value obtained for the size of the total moment is 1.3 Bohr magnetons per cell. The calculation puts the formation energy at 0.70 eV per formula unit. The volume is 243 Å³/f.u.

The space group is P-6m2 (No. 187) and the conventional cell measures 3.3949, 3.3949 and 24.3781 Å, with angles of 90.00, 90.00 and 120.00 degrees. The distinct sites, in fractional coordinates, are Y at (0.0000, 0.0000, 0.0000), Ho at (0.3333, 0.6667, 0.3282), Sc at (0.0000, 0.0000, 0.2163), Sc at (0.0000, 0.0000, 0.4383) and Sc at (0.3333, 0.6667, 0.1133).

# 7
The following is a DFT calculation (PBE) of crystalline HgHPd2Pt at its relaxed geometry.

As for the energy above the most stable polymorph in this dataset: 0.162 eV per atom. The value obtained for the size of the total moment is 0.0 Bohr magnetons per cell. The volume is 70 Å³/f.u.

The space group is P4/mmm (No. 123) and the conventional cell measures 3.946, 3.946 and 4.496 Å, with angles of 90.00, 90.00 and 90.00 degrees. The distinct sites, in fractional coordinates, are Hg at (0.000, 0.000, 0.000), H at (0.000, 0.000, 0.500), Pd at (0.000, 0.500, 0.500) and Pt at (0.500, 0.500, 0.000).

# 8
The following is a DFT calculation (PBE) of crystalline LiSm3Ho2Te6 at its relaxed geometry.

The formation energy without anion corrections is -1.3343 eV per atom. The value obtained for the size of the total moment is 0.0 Bohr magnetons per cell. The volume is 356 Å³/f.u.

The space group is C2/m (No. 12) and the conventional cell measures 19.108, 4.372 and 8.770 Å, with angles of 90.00, 103.64 and 90.00 degrees. The distinct sites, in fractional coordinates, are Li at (0.000, 0.000, 0.000), Sm at (0.000, 0.000, 0.500), Sm at (0.167, 0.500, 0.830), Ho at (0.167, 0.500, 0.337), Te at (0.002, 0.500, 0.237), Te at (0.161, 0.000, 0.086) and Te at (0.168, 0.000, 0.579).

The highest volume belongs to which entry? LiSm3Ho2Te6